CsSr2Sn2 | GGA-PBE | optimized geometry Values from VASP.

Output
- V: 44.6 A^3/atom
- Formation enthalpy at 0 K: -0.339 eV/atom
- Total DFT energy (no corrections): -2.784 eV per atom
- D(E_F): 1.473 states/eV/atom

Cell and atoms, written as Quantum ESPRESSO input:
```
&SYSTEM
  ibrav = 0, nat = 5, ntyp = 3
/
ATOMIC_SPECIES
Cs 132.91 Cs.upf
Sr 87.62 Sr.upf
Sn 118.71 Sn.upf
CELL_PARAMETERS angstrom
5.951 0.000 0.000
0.000 5.951 0.000
2.975 2.975 6.297
ATOMIC_POSITIONS crystal
Cs 0.000 0.000 0.000
Sr 0.750 0.250 0.500
Sr 0.250 0.750 0.500
Sn 0.386 0.386 0.228
Sn 0.614 0.614 0.772
```